(1)
4
Lattice="-1.733 -1.284 -2.125 0.319 -3.872 2.080 -2.318 3.391 1.999" Properties=species:S:1:pos:R:3 comment="FeReSi2 | the Alexandria database | meta-GGA SCAN | PBEsol geometry" total_magnetization_mub_per_cell=1.91 e_form_raw_ev_per_atom=-0.049 dos_ef_per_ev_fu=1.73 final_energy_ev_per_atom=-27.364 pbc="T T T"
Fe -0.867 -0.642 -1.062
Si -1.423 0.382 0.930
Re 0.160 -1.936 1.040
Si -2.309 -2.148 1.024



(2)
4
Lattice="4.066 0.000 0.000 2.033 3.522 0.000 2.033 1.174 3.320" Properties=species:S:1:pos:R:3 comment="Li2CoPd | the Alexandria database | meta-GGA SCAN | PBEsol geometry" total_magnetization_mub_per_cell=1.78 dos_ef_per_ev_fu=1.07 final_energy_ev_per_atom=-13.722 pbc="T T T"
Pd 4.066 2.348 1.660
Li 2.033 1.174 0.830
Co 0.000 0.000 0.000
Li 6.099 3.522 2.490



(3)
24
Lattice="4.063 0.000 0.000 0.000 11.049 0.000 0.000 0.000 11.471" Properties=species:S:1:pos:R:3 comment="SrLaCuS3 | the Alexandria database | meta-GGA SCAN | PBEsol geometry" total_magnetization_mub_per_cell=0.00 e_form_raw_ev_per_atom=-1.964 dos_ef_per_ev_fu=0.00 final_energy_ev_per_atom=-20.207 pbc="T T T"
S 3.047 1.294 0.660
La 3.047 0.136 9.379
La 1.016 10.913 2.092
S 3.047 8.593 7.985
La 1.016 5.388 3.643
Sr 1.016 3.525 11.378
Sr 3.047 7.524 0.093
S 3.047 10.484 4.120
La 3.047 5.661 7.828
S 3.047 4.959 1.615
Cu 3.047 8.338 3.317
Sr 3.047 2.000 5.643
S 1.016 6.090 9.855
Sr 1.016 9.050 5.828
S 1.016 2.456 3.485
Cu 1.016 2.712 8.154
S 1.016 9.755 10.811
Cu 3.047 2.813 2.418
S 1.016 0.566 7.351
S 1.016 7.981 2.250
S 1.016 4.230 6.395
S 3.047 6.819 5.076
S 3.047 3.068 9.221
Cu 1.016 8.236 9.053



(4)
5
Lattice="4.414 0.000 0.000 0.000 5.357 0.000 0.000 0.000 5.357" Properties=species:S:1:pos:R:3 comment="CsSrP2O | the Alexandria database | meta-GGA SCAN | PBEsol geometry" total_magnetization_mub_per_cell=0.68 e_form_raw_ev_per_atom=0.601 dos_ef_per_ev_fu=5.45 final_energy_ev_per_atom=-16.821 pbc="T T T"
P 0.000 0.000 2.679
P 0.000 2.679 0.000
Cs 0.000 0.000 0.000
Sr 2.207 2.679 2.679
O 2.207 0.000 0.000



(5)
6
Lattice="4.854 0.000 0.000 2.427 4.203 0.000 2.427 1.401 3.963" Properties=species:S:1:pos:R:3 comment="Zn2Mo | the Alexandria database | meta-GGA SCAN | PBEsol geometry" total_magnetization_mub_per_cell=0.00 dos_ef_per_ev_fu=0.97 final_energy_ev_per_atom=-20.670 pbc="T T T"
Zn 3.640 3.503 2.477
Zn 4.854 2.802 0.495
Mo 2.427 1.401 0.991
Zn 4.854 1.401 2.477
Zn 6.067 3.503 2.477
Mo 0.000 0.000 0.000



(6)
9
Lattice="3.743 0.000 0.000 0.000 6.361 0.000 0.000 -3.181 5.509" Properties=species:S:1:pos:R:3 comment="HfPRu | the Alexandria database | meta-GGA SCAN | PBEsol geometry" total_magnetization_mub_per_cell=0.00 dos_ef_per_ev_fu=1.78 final_energy_ev_per_atom=-37.125 pbc="T T T"
Hf 1.871 3.713 0.000
P 1.871 0.000 0.000
Ru 0.000 2.399 4.155
Hf 1.871 -1.857 3.216
Hf 1.871 1.324 2.293
P 0.000 3.181 1.836
Ru 0.000 -0.782 1.354
Ru 0.000 1.563 0.000
P 0.000 0.000 3.673



(7)
4
Lattice="-1.250 1.313 4.676 2.111 -2.330 3.908 3.300 2.435 2.888" Properties=species:S:1:pos:R:3 comment="LaIrBr2 | the Alexandria database | meta-GGA SCAN | PBEsol geometry" total_magnetization_mub_per_cell=0.01 e_form_raw_ev_per_atom=-0.243 dos_ef_per_ev_fu=6.89 final_energy_ev_per_atom=-38.524 e_above_lowest_polymorph_ev_per_atom=0.195 pbc="T T T"
Ir 2.080 0.709 5.736
La 1.040 0.355 2.868
Br 0.000 0.000 0.000
Br 3.121 1.064 8.604



(8)
5
Lattice="-3.100 1.964 4.105 -4.149 0.820 -3.526 -1.868 -5.079 1.018" Properties=species:S:1:pos:R:3 comment="YAl3Se | the Alexandria database | meta-GGA SCAN | PBEsol geometry" total_magnetization_mub_per_cell=0.00 e_form_raw_ev_per_atom=1.280 dos_ef_per_ev_fu=4.70 final_energy_ev_per_atom=-12.956 e_above_lowest_polymorph_ev_per_atom=0.963 pbc="T T T"
Al -1.550 0.982 2.053
Y 0.000 0.000 0.000
Se -4.559 -1.148 0.799
Al -0.934 -2.539 0.509
Al -2.075 0.410 -1.763